A geometry-optimized LiHoPa2N4 structure. Source: Alexandria, functional GGA-PBE.

Output
Formation energy without anion corrections = -1406 meV per atom
E_tot = -8.754 eV/atom

The structure in CIF format:
```
data_LiHoPa2N4
_cell_length_a 5.8025
_cell_length_b 3.5284
_cell_length_c 6.0612
_cell_angle_alpha 90.00
_cell_angle_beta 109.36
_cell_angle_gamma 90.00
_symmetry_space_group_name_H-M 'P 1 2/m 1'
_symmetry_Int_Tables_number 10
_symmetry_space_group_name_Hall '-P 2y'
loop_
_atom_site_label
_atom_site_type_symbol
_atom_site_fract_x
_atom_site_fract_y
_atom_site_fract_z
Li1 Li 0.0000 0.0000 0.0000
Ho1 Ho 0.0000 0.5000 0.5000
Pa1 Pa 0.5000 0.0000 0.5000
Pa2 Pa 0.5000 0.5000 0.0000
N1 N 0.2658 0.0000 0.7568
N2 N 0.2890 0.5000 0.2691
```